# Rb2VCd, relaxed, DFT PBE-GGA
# * formation enthalpy at 0 K: 0.93 eV/atom
data_Rb2VCd
_cell_length_a 10.021
_cell_length_b 10.021
_cell_length_c 6.604
_cell_angle_alpha 90.00
_cell_angle_beta 90.00
_cell_angle_gamma 90.00
_symmetry_space_group_name_H-M 'I -4 2 d'
_symmetry_Int_Tables_number 122
_symmetry_space_group_name_Hall 'I -4 2bw'
loop_
_atom_site_label
_atom_site_fract_x
_atom_site_fract_y
_atom_site_fract_z
_atom_site_occupancy
Rb1 0.245 0.250 0.125 1
V1 0.000 0.000 0.500 1
Cd1 0.000 0.000 0.000 1